[1]
Below is a geometry-optimized TmTi2C2 structure, with properties calculated at the PBE level.

a = 7.0503 Å, b = 8.8247 Å, c = 5.5609 Å
α = 90.00°, β = 125.32°, γ = 90.00°
Closest atoms and distances in Å follow each position.
Space group C2/c (No. 15)
Unique sites:
Tm  0.0000  0.1295  0.2500 [4 per cell]  2 C 2.45-2.61
Ti  0.1444  0.3802  0.0198 [8 per cell]  4 C 2.06-2.26
C  0.0000  0.1658  0.7500 [4 per cell]  4 Ti 2.09-2.26
C  0.0000  0.4070  0.2500 [4 per cell]  4 Ti 2.06-2.25

## Properties
Energy of formation = -0.333 eV per atom


[2]
Below is a geometry-optimized Sr3CaRh structure, with properties calculated at the PBE level.

a = 8.9095 Å, b = 8.9095 Å, c = 8.9384 Å
α = 90.00°, β = 90.00°, γ = 120.00°
Closest atoms and distances in Å follow each position.
Space group R3m (No. 160, hexagonal axes)
Unique sites:
Sr  0.0371  0.5186  0.0000 [9 per cell]  2 Rh 2.97-3.16
Ca  0.0000  0.0000  0.9295 [3 per cell]  1 Rh 3.15
Rh  0.0000  0.0000  0.5776 [3 per cell]  6 Sr 2.97-3.16, 1 Ca 3.15

## Properties
Energy of formation = -0.103 eV per atom
E above lowest polymorph = 97 meV per atom


[3]
Below is a geometry-optimized Ni2TeOs structure, with properties calculated at the PBE level.

a = 8.4118 Å, b = 3.1152 Å, c = 4.5465 Å
α = 90.00°, β = 102.18°, γ = 90.00°
Closest atoms and distances in Å follow each position.
Space group Cm (No. 8)
Unique sites:
Ni  0.0000  0.0000  0.0000 [2 per cell]  3 Ni 2.51-2.57, 2 Te 2.61, 3 Os 2.65-2.67
Ni  0.2427  0.5000  0.1971 [2 per cell]  3 Ni 2.51-2.57, 3 Te 2.57-2.73, 2 Os 2.62
Te  0.0004  0.5000  0.4613 [2 per cell]  5 Ni 2.57-2.73, 3 Os 2.65-2.71
Os  0.2521  0.0000  0.7368 [2 per cell]  7 Ni 2.62-2.89, 3 Te 2.65-2.71

## Properties
Formation energy from raw total energies = 38 kJ/mol of atoms


[4]
Below is a geometry-optimized Pm6Ho2Tm3In structure, with properties calculated at the PBE level.

a = 6.1499 Å, b = 10.6635 Å, c = 11.7147 Å
α = 90.00°, β = 100.12°, γ = 90.00°
Closest atoms and distances in Å follow each position.
Space group C2/m (No. 12)
Unique sites:
Pm  0.2446  0.0000  0.2499 [4 per cell]  6 Pm 3.49-3.58, 1 In 3.52, 3 Tm 3.53-3.56, 2 Ho 3.55
Pm  0.2470  0.1640  0.7493 [8 per cell]  6 Pm 3.49-3.58, 1 In 3.51, 3 Tm 3.54-3.56, 2 Ho 3.54
Ho  0.0000  0.3333  0.5000 [4 per cell]  6 Pm 3.54-3.55, 3 In 3.55, 3 Ho 3.55
Tm  0.0000  0.1675  0.0000 [4 per cell]  6 Pm 3.53-3.56, 6 Tm 3.54-3.57
Tm  0.0000  0.5000  0.0000 [2 per cell]  6 Pm 3.54-3.56, 6 Tm 3.55-3.56
In  0.0000  0.0000  0.5000 [2 per cell]  6 Pm 3.51-3.52, 6 Ho 3.55

## Properties
Energy of formation = -0.035 eV per atom


[5]
Below is a geometry-optimized Be2InPb structure, with properties calculated at the PBE level.

a = 4.0417 Å, b = 4.0499 Å, c = 4.9286 Å
α = 90.00°, β = 112.99°, γ = 90.00°
Closest atoms and distances in Å follow each position.
Space group Pm (No. 6)
Unique sites:
Be  0.0000  0.0000  0.0000 [1 per cell]  2 Be 2.25
Be  0.0942  0.5000  0.2139 [1 per cell]  2 Be 2.25
In  0.6991  0.0000  0.3933 [1 per cell]  5 Be 2.66-2.92
Pb  0.3988  0.5000  0.8116 [1 per cell]  7 Be 2.71-3.02

## Properties
Energy of formation = 0.433 eV per atom
E above lowest polymorph = 86 meV per atom


[6]
Below is a geometry-optimized RbBaCd4 structure, with properties calculated at the PBE level.

a = 10.6119 Å, b = 8.9383 Å, c = 5.1828 Å
α = 90.00°, β = 118.97°, γ = 90.00°
Closest atoms and distances in Å follow each position.
Space group C2/m (No. 12)
Unique sites:
Rb  0.0000  0.0000  0.0000 [2 per cell]  12 Cd 3.71-3.86
Ba  0.0000  0.5000  0.5000 [2 per cell]  12 Cd 3.71-3.84
Cd  0.2381  0.3329  0.2382 [8 per cell]  3 Cd 2.99

## Properties
Energy of formation = -0.167 eV per atom
E above lowest polymorph = 0 meV per atom


[7]
Below is a geometry-optimized Ba2HAu structure, with properties calculated at the PBE level.

a = 7.7355 Å, b = 7.7355 Å, c = 8.6732 Å
α = 90.00°, β = 90.00°, γ = 90.00°
Closest atoms and distances in Å follow each position.
Space group I-42d (No. 122)
Unique sites:
Ba  0.1824  0.2500  0.1250 [8 per cell]  2 H 2.63
H  0.0000  0.0000  0.0000 [4 per cell]  4 Ba 2.63
Au  0.0000  0.0000  0.5000 [4 per cell]  4 Ba 3.31

## Properties
E above lowest polymorph = 106 meV per atom


[8]
Below is a geometry-optimized ScNiH structure, with properties calculated at the PBE level.

a = 3.5194 Å, b = 3.5194 Å, c = 3.3270 Å
α = 90.00°, β = 90.00°, γ = 120.00°
Closest atoms and distances in Å follow each position.
Space group P-6m2 (No. 187)
Unique sites:
Sc  0.0000  0.0000  0.0000 [1 per cell]  6 H 2.63, 6 Ni 2.63
Ni  0.6667  0.3333  0.5000 [1 per cell]  3 H 2.03
H  0.3333  0.6667  0.5000 [1 per cell]  3 Ni 2.03

## Properties
E above lowest polymorph = 123 meV per atom


Number 1: total magnetization 0.0 μB/cell. Number 2: total magnetization 0.0 μB/cell. Number 3: total magnetization 0.0 μB/cell. Number 4: total magnetization 0.0 μB/cell. Number 5: total magnetization 0.0 μB/cell. Number 6: total magnetization 0.0 μB/cell. Number 7: total magnetization 2.0 μB/cell. Number 8: total magnetization 0.0 μB/cell.